AgP2Ru meta-GGA SCAN single point on PBEsol structure; ΔE to the lowest computed polymorph = 0 meV per atom; spin magnetization = 0.0 μB/cell; ΔH_f (0 K) = 7.98 kcal/mol of atoms
1.0
4.1597 0.0000 0.0000
-2.0799 3.8245 -0.0046
0.0000 2.2664 3.4881
Ru P Ag
1 2 1
direct
0.5000 0.0000 0.5000 Ru
0.2500 0.5000 0.2500 P
0.7500 0.5000 0.7500 P
0.0000 0.0000 0.0000 Ag

---

AgP2Ru2 meta-GGA SCAN single point on PBEsol structure; spin magnetization = 0.0 μB/cell; ΔH_f (0 K) = -6.01 kcal/mol of atoms
1.0
-1.7169 -3.1117 -0.5266
2.9940 -1.7955 0.8482
-2.1968 2.4013 5.2286
Ag P Ru
1 2 2
direct
0.0000 0.0000 0.0000 Ag
0.2500 0.7500 0.5000 P
0.7500 0.2500 0.5000 P
0.3767 0.3767 0.7533 Ru
0.6233 0.6233 0.2467 Ru

---

AgPRu meta-GGA SCAN single point on PBEsol structure; spin magnetization = 0.0 μB/cell; ΔH_f (0 K) = -1.09 kcal/mol of atoms
1.0
-1.4942 2.5885 1.7358
-2.0158 -2.5590 2.0809
3.4705 1.1818 1.2250
Ru Ag P
1 1 1
direct
0.4761 0.3333 0.6667 Ru
0.9867 0.0000 0.0000 Ag
0.5372 0.6667 0.3333 P

---

AgP2Ru meta-GGA SCAN single point on PBEsol structure; ΔE to the lowest computed polymorph = 136 meV per atom; spin magnetization = 0.0 μB/cell; ΔH_f (0 K) = 11.12 kcal/mol of atoms
1.0
2.7927 -0.0086 0.0000
-1.1100 2.5626 0.0000
0.0000 0.0000 8.1879
Ag Ru P
1 1 2
direct
0.5000 0.5000 0.2456 Ag
0.0000 0.0000 0.5356 Ru
0.5000 0.5000 0.7350 P
0.0000 0.0000 0.9838 P

---

AgP2RuS meta-GGA SCAN single point on PBEsol structure; spin magnetization = 0.0 μB/cell; E_form (uncorrected) = 0.61 eV/atom
1.0
-2.0270 -0.5460 3.8284
0.1687 -4.3308 -0.5283
4.5452 -0.1145 2.3902
S Ru P Ag
1 1 2 1
direct
0.0000 0.0000 0.5000 S
0.0000 0.0000 0.0000 Ru
0.5000 0.0000 0.0000 P
0.0000 0.5000 0.0000 P
0.5000 0.5000 0.5000 Ag

---

AgSnPRu2 meta-GGA SCAN single point on PBEsol structure; spin magnetization = 1.1 μB/cell; ΔH_f (0 K) = 15.36 kcal/mol of atoms
1.0
-2.9266 -2.0446 -2.4290
1.4766 -3.8010 1.4203
-3.2403 0.1521 3.7759
P Ag Ru Sn
1 1 2 1
direct
0.0000 0.0000 0.0000 P
0.5000 0.5000 0.5000 Ag
0.0000 0.5000 0.0000 Ru
0.5000 0.0000 0.0000 Ru
0.0000 0.0000 0.5000 Sn

---

Ag2PS3 meta-GGA SCAN single point on PBEsol structure; ΔE to the lowest computed polymorph = 0 meV per atom; spin magnetization = 0.0 μB/cell; E_form (uncorrected) = -0.25 eV/atom
1.0
-4.0846 1.1642 4.8178
-3.7930 -11.0780 -0.5387
14.1227 -5.4081 11.7757
S Ag P
36 24 12
direct
0.3498 0.8126 0.9403 S
0.6962 0.9712 0.5570 S
0.6502 0.3126 0.5597 S
0.6962 0.5288 0.0570 S
0.0901 0.4428 0.2980 S
0.6446 0.3397 0.2278 S
0.3143 0.1292 0.2427 S
0.6502 0.1874 0.0597 S
0.1577 0.3874 0.5137 S
0.9017 0.8569 0.3960 S
0.6857 0.8708 0.7573 S
0.4731 0.8754 0.1104 S
0.3143 0.3708 0.7427 S
0.3498 0.6874 0.4403 S
0.0983 0.1431 0.6040 S
0.8775 0.3474 0.8654 S
0.3554 0.6603 0.7722 S
0.5269 0.1246 0.8896 S
0.3038 0.4712 0.9430 S
0.1225 0.6526 0.1346 S
0.3554 0.8397 0.2722 S
0.0901 0.0572 0.7980 S
0.9017 0.6431 0.8960 S
0.9099 0.5572 0.7020 S
0.8423 0.6126 0.4863 S
0.3038 0.0288 0.4430 S
0.5269 0.3754 0.3896 S
0.1577 0.1126 0.0137 S
0.9099 0.9428 0.2020 S
0.6857 0.6292 0.2573 S
0.8423 0.8874 0.9863 S
0.8775 0.1526 0.3654 S
0.0983 0.3569 0.1040 S
0.1225 0.8474 0.6346 S
0.6446 0.1603 0.7278 S
0.4731 0.6246 0.6104 S
0.3868 0.5730 0.3305 Ag
0.3868 0.9270 0.8305 Ag
0.5213 0.8735 0.3955 Ag
0.9163 0.2062 0.4881 Ag
0.4815 0.1619 0.3663 Ag
0.6132 0.4270 0.6695 Ag
0.0912 0.9327 0.0919 Ag
0.0837 0.7938 0.5119 Ag
0.0912 0.5673 0.5919 Ag
0.9777 0.2689 0.7111 Ag
0.6132 0.0730 0.1695 Ag
0.9163 0.2938 0.9881 Ag
0.4815 0.3381 0.8663 Ag
0.9088 0.4327 0.4081 Ag
0.0223 0.7311 0.2889 Ag
0.4787 0.1265 0.6045 Ag
0.9777 0.2311 0.2111 Ag
0.5185 0.6619 0.1337 Ag
0.9088 0.0673 0.9081 Ag
0.4787 0.3735 0.1045 Ag
0.5213 0.6265 0.8955 Ag
0.0223 0.7689 0.7889 Ag
0.0837 0.7062 0.0119 Ag
0.5185 0.8381 0.6337 Ag
0.0501 0.0070 0.3747 P
0.4588 0.4053 0.4911 P
0.9499 0.9930 0.6253 P
0.9499 0.5070 0.1253 P
0.8335 0.4790 0.2337 P
0.5412 0.9053 0.0089 P
0.5412 0.5947 0.5089 P
0.4588 0.0947 0.9911 P
0.1665 0.9790 0.2663 P
0.8335 0.0210 0.7337 P
0.1665 0.5210 0.7663 P
0.0501 0.4930 0.8747 P

---

AgPS3 meta-GGA SCAN single point on PBEsol structure; ΔE to the lowest computed polymorph = 0 meV per atom; spin magnetization = 0.0 μB/cell; E_form (uncorrected) = -0.23 eV/atom
1.0
-3.4001 -5.2162 1.8415
2.5774 -0.0278 -5.9596
5.6659 0.9388 3.1526
S Ag P
6 2 2
direct
0.1309 0.1724 0.3033 S
0.3452 0.7099 0.0552 S
0.8691 0.8276 0.6967 S
0.2325 0.7325 0.5000 S
0.6548 0.2901 0.9448 S
0.7675 0.2675 0.5000 S
0.2807 0.2807 0.0000 Ag
0.7193 0.7193 0.0000 Ag
0.0628 0.6565 0.7193 P
0.9372 0.3435 0.2807 P

---

Ag2PS3 meta-GGA SCAN single point on PBEsol structure; ΔE to the lowest computed polymorph = 2 meV per atom; spin magnetization = 0.0 μB/cell; E_form (uncorrected) = -0.25 eV/atom
1.0
-5.2042 -1.0029 3.1470
-0.8399 -9.9088 -4.5466
7.2991 -5.3717 10.3586
S Ag P
24 16 8
direct
0.7849 0.8848 0.2551 S
0.3946 0.1367 0.9853 S
0.2340 0.6969 0.2861 S
0.5851 0.3285 0.4642 S
0.9149 0.6715 0.9642 S
0.1910 0.9649 0.7621 S
0.6910 0.5351 0.2379 S
0.3090 0.0351 0.2621 S
0.1280 0.4842 0.5170 S
0.7151 0.1152 0.7551 S
0.6280 0.0158 0.4830 S
0.0851 0.1715 0.5358 S
0.8090 0.4649 0.7379 S
0.2151 0.3848 0.2449 S
0.4149 0.8285 0.0358 S
0.7340 0.8031 0.7139 S
0.1054 0.8633 0.4853 S
0.7660 0.1969 0.2139 S
0.8946 0.3633 0.0147 S
0.8720 0.9842 0.9830 S
0.2660 0.3031 0.7861 S
0.6054 0.6367 0.5147 S
0.3720 0.5158 0.0170 S
0.2849 0.6152 0.7449 S
0.4151 0.8538 0.6075 Ag
0.7740 0.2871 0.6244 Ag
0.9151 0.6462 0.3925 Ag
0.5261 0.8082 0.3918 Ag
0.4050 0.1176 0.6378 Ag
0.0849 0.1462 0.1075 Ag
0.5950 0.6176 0.8622 Ag
0.2740 0.2129 0.3756 Ag
0.4739 0.3082 0.1082 Ag
0.5849 0.3538 0.8925 Ag
0.9050 0.3824 0.3622 Ag
0.0950 0.8824 0.1378 Ag
0.9739 0.1918 0.8918 Ag
0.2260 0.7871 0.8756 Ag
0.0261 0.6918 0.6082 Ag
0.7260 0.7129 0.1244 Ag
0.3886 0.5325 0.2960 P
0.5718 0.9956 0.0411 P
0.8886 0.9675 0.7040 P
0.6114 0.0325 0.2040 P
0.4282 0.4956 0.4589 P
0.9282 0.0044 0.5411 P
0.0718 0.5044 0.9589 P
0.1114 0.4675 0.7960 P

---

AgPS3 meta-GGA SCAN single point on PBEsol structure; ΔE to the lowest computed polymorph = 1478 meV per atom; spin magnetization = 0.0 μB/cell; E_form (uncorrected) = 1.24 eV/atom
1.0
-3.2139 1.9466 -2.7566
1.3261 -2.7720 -3.5035
-3.1032 -3.2006 1.3578
Ag S P
1 3 1
direct
0.0000 0.0000 0.0000 Ag
0.0000 0.5000 0.0000 S
0.5000 0.0000 0.0000 S
0.0000 0.0000 0.5000 S
0.5000 0.5000 0.5000 P

---

AgP2SeS meta-GGA SCAN single point on PBEsol structure; spin magnetization = 0.9 μB/cell; E_form (uncorrected) = 1.28 eV/atom
1.0
4.6261 0.0000 0.0000
0.0000 4.7394 0.0000
0.0000 0.0000 4.7394
P Ag Se S
2 1 1 1
direct
0.0000 0.5000 0.0000 P
0.0000 0.0000 0.5000 P
0.0000 0.0000 0.0000 Ag
0.5000 0.5000 0.5000 Se
0.5000 0.0000 0.0000 S

---

SrAgP2S meta-GGA SCAN single point on PBEsol structure; spin magnetization = 0.0 μB/cell; E_form (uncorrected) = 0.03 eV/atom
1.0
-2.8538 -3.7075 0.7398
3.4795 -2.9382 -1.3027
1.5732 -0.2568 4.7814
Sr P Ag S
1 2 1 1
direct
0.5000 0.5000 0.5000 Sr
0.0000 0.5000 0.0000 P
0.5000 0.0000 0.0000 P
0.0000 0.0000 0.0000 Ag
0.0000 0.0000 0.5000 S

---

TlAgP2S meta-GGA SCAN single point on PBEsol structure; spin magnetization = 2.5 μB/cell; E_form (uncorrected) = 1.37 eV/atom
1.0
-2.2965 -3.5075 2.8223
-1.1655 -2.5971 -4.1760
4.3607 -2.5556 0.3723
Ag P S Tl
1 2 1 1
direct
0.5000 0.5000 0.5000 Ag
0.5000 0.0000 0.0000 P
0.0000 0.5000 0.0000 P
0.0000 0.0000 0.5000 S
0.0000 0.0000 0.0000 Tl

---

VAgP2S6 meta-GGA SCAN single point on PBEsol structure; spin magnetization = 4.0 μB/cell; E_form (uncorrected) = -0.51 eV/atom
1.0
5.7060 0.0359 0.0000
-1.7896 6.4455 0.0000
0.0000 0.0000 10.6557
S Ag P V
12 2 4 2
direct
0.9911 0.2308 0.9202 S
0.4824 0.2824 0.4013 S
0.4690 0.2355 0.7736 S
0.0176 0.7176 0.4013 S
0.5089 0.7692 0.9202 S
0.9690 0.2355 0.2264 S
0.5176 0.7176 0.5987 S
0.9824 0.2824 0.5987 S
0.5310 0.7645 0.2264 S
0.4911 0.2308 0.0798 S
0.0310 0.7645 0.7736 S
0.0089 0.7692 0.0798 S
0.2500 0.0000 0.5649 Ag
0.7500 0.0000 0.4351 Ag
0.2937 0.1709 0.2500 P
0.2063 0.8291 0.2500 P
0.7937 0.1709 0.7500 P
0.7063 0.8291 0.7500 P
0.7500 0.0000 0.0659 V
0.2500 0.0000 0.9341 V

---

ZnAg2P2S6 meta-GGA SCAN single point on PBEsol structure; spin magnetization = 0.0 μB/cell; E_form (uncorrected) = -0.38 eV/atom
1.0
6.2058 -0.0061 0.0281
-3.0924 5.3805 0.0281
-1.3297 -2.2954 26.3085
P S Ag Zn
8 24 8 4
direct
0.4043 0.8737 0.1674 P
0.1263 0.5957 0.3326 P
0.3717 0.8576 0.0822 P
0.8576 0.3717 0.5822 P
0.1424 0.6283 0.4178 P
0.6283 0.1424 0.9178 P
0.8737 0.4043 0.6674 P
0.5957 0.1263 0.8326 P
0.9133 0.0819 0.5616 S
0.8403 0.6484 0.3081 S
0.7054 0.1355 0.0620 S
0.6484 0.8403 0.8081 S
0.2999 0.5095 0.0578 S
0.1597 0.3516 0.6919 S
0.4905 0.7001 0.4422 S
0.1355 0.7054 0.5620 S
0.2946 0.8645 0.9380 S
0.5369 0.1301 0.6879 S
0.2468 0.0633 0.8119 S
0.8699 0.4631 0.8121 S
0.0867 0.9181 0.4384 S
0.3516 0.1597 0.1919 S
0.9367 0.7532 0.6881 S
0.7001 0.4905 0.9422 S
0.4631 0.8699 0.3121 S
0.0633 0.2468 0.3119 S
0.5095 0.2999 0.5578 S
0.0819 0.9133 0.0616 S
0.8645 0.2946 0.4380 S
0.7532 0.9367 0.1881 S
0.1301 0.5369 0.1879 S
0.9181 0.0867 0.9384 S
0.4604 0.2601 0.3186 Ag
0.3030 0.4781 0.9329 Ag
0.5219 0.6970 0.5671 Ag
0.7399 0.5396 0.1814 Ag
0.5396 0.7399 0.6814 Ag
0.6970 0.5219 0.0671 Ag
0.4781 0.3030 0.4329 Ag
0.2601 0.4604 0.8186 Ag
0.9481 0.8042 0.8749 Zn
0.0519 0.1958 0.1251 Zn
0.1958 0.0519 0.6251 Zn
0.8042 0.9481 0.3749 Zn

---

Ag2SbP meta-GGA SCAN single point on PBEsol structure; ΔE to the lowest computed polymorph = 0 meV per atom; spin magnetization = 0.0 μB/cell; E_form (uncorrected) = 0.34 eV/atom
1.0
5.7580 0.8781 1.2861
-1.9073 5.5034 -1.2861
-1.9073 -3.2016 4.6574
Ag P Sb
4 2 2
direct
0.4669 0.8750 0.8419 Ag
0.5331 0.3750 0.4081 Ag
0.9669 0.5919 0.1250 Ag
0.0331 0.1581 0.6250 Ag
0.5000 0.2500 0.7500 P
0.0000 0.5000 0.5000 P
0.5000 0.7500 0.2500 Sb
0.0000 0.0000 0.0000 Sb

---

Ag2SbP meta-GGA SCAN single point on PBEsol structure; ΔE to the lowest computed polymorph = 131 meV per atom; spin magnetization = 0.0 μB/cell; E_form (uncorrected) = 0.47 eV/atom
1.0
-1.5304 -4.2760 1.4413
0.9352 -3.8712 -2.6159
3.1188 -3.2412 1.5720
Ag Sb P
2 1 1
direct
0.7500 0.7500 0.7500 Ag
0.0000 0.0000 0.0000 Ag
0.2500 0.2500 0.2500 Sb
0.5000 0.5000 0.5000 P

---

AgSb2P2 meta-GGA SCAN single point on PBEsol structure; spin magnetization = 0.0 μB/cell; E_form (uncorrected) = 0.42 eV/atom
1.0
-0.4872 -2.0463 -3.0540
-5.1046 -4.1394 3.5879
-5.3889 4.6753 -2.2729
P Sb Ag
4 4 2
direct
0.0000 0.8312 0.6688 P
0.0000 0.6688 0.1688 P
0.0000 0.3312 0.8312 P
0.0000 0.1688 0.3312 P
0.5000 0.8411 0.3411 Sb
0.5000 0.6589 0.8411 Sb
0.5000 0.1589 0.6589 Sb
0.5000 0.3411 0.1589 Sb
0.0000 0.5000 0.5000 Ag
0.0000 0.0000 0.0000 Ag

---

Ag2SbP meta-GGA SCAN single point on PBEsol structure; ΔE to the lowest computed polymorph = 9 meV per atom; spin magnetization = 0.0 μB/cell; E_form (uncorrected) = 0.35 eV/atom
1.0
4.1291 0.0000 0.0000
0.0000 4.1291 0.0000
-2.0646 -2.0646 4.4080
Sb Ag P
1 2 1
direct
0.0000 0.0000 0.0000 Sb
0.2500 0.7500 0.5000 Ag
0.7500 0.2500 0.5000 Ag
0.5000 0.5000 0.0000 P

---

Number 1: electronic total energy -85.6 eV per cell. Number 2: electronic total energy -123.1 eV per cell. Number 3: electronic total energy -76.7 eV per cell. Number 4: electronic total energy -85.1 eV per cell. Number 5: electronic total energy -93.6 eV per cell. Number 6: electronic total energy -144.0 eV per cell. Number 7: electronic total energy -1242.2 eV per cell. Number 8: electronic total energy -143.6 eV per cell. Number 9: electronic total energy -828.0 eV per cell. Number 10: electronic total energy -64.4 eV per cell. Number 11: electronic total energy -75.5 eV per cell. Number 12: electronic total energy -83.9 eV per cell. Number 13: electronic total energy -127.3 eV per cell. Number 14: electronic total energy -264.9 eV per cell. Number 15: electronic total energy -635.9 eV per cell. Number 16: electronic total energy -218.0 eV per cell. Number 17: electronic total energy -108.5 eV per cell. Number 18: electronic total energy -249.2 eV per cell. Number 19: electronic total energy -109.0 eV per cell.